(1)
CaCuAg | PBE-GGA | relaxed

```
data_CaCuAg
_symmetry_space_group_name_H-M 'F -4 3 m'
_symmetry_Int_Tables_number 216
_symmetry_space_group_name_Hall 'F -4 2 3'
_cell_length_a 6.543
_cell_length_b 6.543
_cell_length_c 6.543
_cell_angle_alpha 90.00
_cell_angle_beta 90.00
_cell_angle_gamma 90.00
loop_
_atom_site_label
_atom_site_fract_x
_atom_site_fract_y
_atom_site_fract_z
Ca1 0.000 0.000 0.000
Cu1 0.250 0.250 0.750
Ag1 0.000 0.000 0.500
```

calculated volume	70.0	Å³/f.u.
offset from the most stable computed form	157	meV/atom
uncorrected energy	-0.2224	Ry per atom
density	5.015	Mg/m³
formation energy	-43	meV/atom

(2)
CaCuAg | PBE-GGA | relaxed

```
data_CaCuAg
_symmetry_space_group_name_H-M 'I 4 m m'
_symmetry_Int_Tables_number 107
_symmetry_space_group_name_Hall 'I 4 -2'
_cell_length_a 3.537
_cell_length_b 3.537
_cell_length_c 9.919
_cell_angle_alpha 90.00
_cell_angle_beta 90.00
_cell_angle_gamma 90.00
loop_
_atom_site_label
_atom_site_fract_x
_atom_site_fract_y
_atom_site_fract_z
Ca1 0.000 0.000 0.000
Cu1 0.000 0.000 0.312
Ag1 0.000 0.000 0.696
```

calculated volume	62.0	Å³/f.u.
offset from the most stable computed form	97	meV/atom
uncorrected energy	-0.2268	Ry per atom
density	5.661	Mg/m³
formation energy	-103	meV/atom

(3)
Ca4Cu3Ag | PBE-GGA | relaxed

```
data_Ca4Cu3Ag
_symmetry_space_group_name_H-M 'P m m 2'
_symmetry_Int_Tables_number 25
_symmetry_space_group_name_Hall 'P 2 -2'
_cell_length_a 4.203
_cell_length_b 4.311
_cell_length_c 10.992
_cell_angle_alpha 90.00
_cell_angle_beta 90.00
_cell_angle_gamma 90.00
loop_
_atom_site_label
_atom_site_fract_x
_atom_site_fract_y
_atom_site_fract_z
Ca1 0.000 0.000 0.000
Ca2 0.000 0.500 0.277
Ca3 0.500 0.000 0.489
Ca4 0.500 0.500 0.781
Cu1 0.000 0.500 0.563
Cu2 0.500 0.000 0.197
Cu3 0.500 0.500 0.078
Ag1 0.000 0.000 0.705
```

calculated volume	199.2	Å³/f.u.
uncorrected energy	-0.2265	Ry per atom
density	3.825	Mg/m³
formation energy	-189	meV/atom

(4)
Ca8CuAg2 | PBE-GGA | relaxed

```
data_Ca8CuAg2
_symmetry_space_group_name_H-M 'C 1 m 1'
_symmetry_Int_Tables_number 8
_symmetry_space_group_name_Hall 'C -2y'
_cell_length_a 9.024
_cell_length_b 13.783
_cell_length_c 6.415
_cell_angle_alpha 90.00
_cell_angle_beta 111.15
_cell_angle_gamma 90.00
loop_
_atom_site_label
_atom_site_fract_x
_atom_site_fract_y
_atom_site_fract_z
Ca1 0.000 0.000 0.000
Ca2 0.065 0.373 0.779
Ca3 0.144 0.129 0.564
Ca4 0.209 0.500 0.369
Ca5 0.350 0.205 0.178
Cu1 0.352 0.000 0.385
Ag1 0.362 0.311 0.693
```

calculated volume	372.0	Å³/f.u.
uncorrected energy	-0.1794	Ry per atom
density	2.678	Mg/m³
formation energy	-95	meV/atom

(5)
Ca3Cu8Ag | PBE-GGA | relaxed

```
data_Ca3Cu8Ag
_symmetry_space_group_name_H-M 'R 3 m'
_symmetry_Int_Tables_number 160
_symmetry_space_group_name_Hall 'R 3 -2"'
_cell_length_a 5.1989
_cell_length_b 5.1989
_cell_length_c 25.5499
_cell_angle_alpha 90.00
_cell_angle_beta 90.00
_cell_angle_gamma 120.00
loop_
_atom_site_label
_atom_site_fract_x
_atom_site_fract_y
_atom_site_fract_z
Ca1 0.0000 0.0000 0.0000
Ca2 0.0000 0.0000 0.1296
Ca3 0.0000 0.0000 0.6151
Cu1 0.0000 0.0000 0.3108
Cu2 0.0000 0.0000 0.8113
Cu3 0.0010 0.5005 0.0622
Cu4 0.0045 0.5023 0.5601
Ag1 0.0000 0.0000 0.4947
```

calculated volume	199.4	Å³/f.u.
uncorrected energy	-0.2621	Ry per atom
density	6.135	Mg/m³
formation energy	-97	meV/atom

(6)
Ca6CuAg2 | PBE-GGA | relaxed

```
data_Ca6CuAg2
_symmetry_space_group_name_H-M 'I m m m'
_symmetry_Int_Tables_number 71
_symmetry_space_group_name_Hall '-I 2 2'
_cell_length_a 10.028
_cell_length_b 10.161
_cell_length_c 10.926
_cell_angle_alpha 90.00
_cell_angle_beta 90.00
_cell_angle_gamma 90.00
loop_
_atom_site_label
_atom_site_fract_x
_atom_site_fract_y
_atom_site_fract_z
Ca1 0.000 0.189 0.248
Ca2 0.202 0.500 0.166
Ca3 0.229 0.325 0.500
Cu1 0.000 0.000 0.000
Cu2 0.000 0.000 0.500
Ag1 0.000 0.339 0.000
Ag2 0.000 0.500 0.372
```

calculated volume	278.3	Å³/f.u.
uncorrected energy	-0.1884	Ry per atom
density	3.101	Mg/m³
formation energy	-140	meV/atom